! PBE RbCrSi2Te8, relaxed; values from VASP
! Symmetry: No. 148
! Formation energy without anion corrections, eV per formula unit: -1.506
&SYSTEM
  ibrav = 0, nat = 12, ntyp = 4
/
ATOMIC_SPECIES
Rb 85.47 Rb.upf
Cr 52.00 Cr.upf
Si 28.09 Si.upf
Te 127.60 Te.upf
CELL_PARAMETERS angstrom
3.4633 1.9996 8.9329
-3.4633 1.9996 8.9329
0.0000 -3.9991 8.9329
ATOMIC_POSITIONS crystal
Rb 0.0000 0.0000 0.0000
Cr 0.5000 0.5000 0.5000
Si 0.2512 0.2512 0.2512
Si 0.7488 0.7488 0.7488
Te 0.1242 0.4279 0.7970
Te 0.2030 0.8758 0.5721
Te 0.3455 0.3455 0.3455
Te 0.4279 0.7970 0.1242
Te 0.5721 0.2030 0.8758
Te 0.6545 0.6545 0.6545
Te 0.7970 0.1242 0.4279
Te 0.8758 0.5721 0.2030

***

! PBE VCuAs2, relaxed; values from VASP
! Symmetry: No. 122
! Formation enthalpy at 0 K, eV/atom: 0.17
&SYSTEM
  ibrav = 0, nat = 16, ntyp = 3
/
ATOMIC_SPECIES
V 50.94 V.upf
Cu 63.55 Cu.upf
As 74.92 As.upf
CELL_PARAMETERS angstrom
5.5717 0.0000 0.0000
0.0000 5.5717 0.0000
0.0000 0.0000 10.9626
ATOMIC_POSITIONS crystal
V 0.0000 0.0000 0.0000
V 0.0000 0.5000 0.2500
V 0.5000 0.0000 0.7500
V 0.5000 0.5000 0.5000
Cu 0.0000 0.0000 0.5000
Cu 0.0000 0.5000 0.7500
Cu 0.5000 0.0000 0.2500
Cu 0.5000 0.5000 0.0000
As 0.2454 0.2500 0.1250
As 0.2500 0.7454 0.3750
As 0.2500 0.7546 0.8750
As 0.2546 0.2500 0.6250
As 0.7454 0.7500 0.6250
As 0.7500 0.2454 0.8750
As 0.7500 0.2546 0.3750
As 0.7546 0.7500 0.1250

***

! PBE FeReHg3, relaxed; values from VASP
! Symmetry: No. 221
! Energy relative to the lowest polymorph listed for this composition, meV/atom: 0
! Formation enthalpy at 0 K, eV/atom: 1.53
&SYSTEM
  ibrav = 0, nat = 5, ntyp = 3
/
ATOMIC_SPECIES
Fe 55.84 Fe.upf
Re 186.21 Re.upf
Hg 200.59 Hg.upf
CELL_PARAMETERS angstrom
4.9909 0.0000 0.0000
0.0000 4.9909 0.0000
0.0000 0.0000 4.9909
ATOMIC_POSITIONS crystal
Fe 0.0000 0.0000 0.0000
Re 0.5000 0.5000 0.5000
Hg 0.0000 0.0000 0.5000
Hg 0.0000 0.5000 0.0000
Hg 0.5000 0.0000 0.0000

***

! PBE Cs2AlTe, relaxed; values from VASP
! Symmetry: No. 225
! Energy relative to the lowest polymorph listed for this composition, meV/atom: 0
! Formation energy without anion corrections, eV per formula unit: -0.374
&SYSTEM
  ibrav = 0, nat = 16, ntyp = 3
/
ATOMIC_SPECIES
Cs 132.91 Cs.upf
Al 26.98 Al.upf
Te 127.60 Te.upf
CELL_PARAMETERS angstrom
9.0472 0.0000 0.0000
0.0000 9.0472 0.0000
0.0000 0.0000 9.0472
ATOMIC_POSITIONS crystal
Cs 0.2500 0.2500 0.2500
Cs 0.2500 0.2500 0.7500
Cs 0.2500 0.7500 0.2500
Cs 0.2500 0.7500 0.7500
Cs 0.7500 0.2500 0.2500
Cs 0.7500 0.2500 0.7500
Cs 0.7500 0.7500 0.2500
Cs 0.7500 0.7500 0.7500
Al 0.0000 0.0000 0.0000
Al 0.0000 0.5000 0.5000
Al 0.5000 0.0000 0.5000
Al 0.5000 0.5000 0.0000
Te 0.0000 0.0000 0.5000
Te 0.0000 0.5000 0.0000
Te 0.5000 0.0000 0.0000
Te 0.5000 0.5000 0.5000

***

! PBE Sr4TePI2, relaxed; values from VASP
! Symmetry: No. 10
! Formation energy without anion corrections, eV per formula unit: -11.467
&SYSTEM
  ibrav = 0, nat = 8, ntyp = 4
/
ATOMIC_SPECIES
Sr 87.62 Sr.upf
Te 127.60 Te.upf
P 30.97 P.upf
I 126.90 I.upf
CELL_PARAMETERS angstrom
8.1329 0.0000 0.0000
0.0000 4.6186 0.0000
-2.6513 0.0000 7.7826
ATOMIC_POSITIONS crystal
Sr 0.2141 0.0000 0.2031
Sr 0.2382 0.5000 0.7861
Sr 0.7618 0.5000 0.2139
Sr 0.7859 0.0000 0.7969
Te 0.5000 0.0000 0.0000
P 0.0000 0.5000 0.0000
I 0.0000 0.0000 0.5000
I 0.5000 0.5000 0.5000

***

! PBE AcTbCuPb, relaxed; values from VASP
! Symmetry: No. 216
! Formation enthalpy at 0 K, eV/atom: -0.23
&SYSTEM
  ibrav = 0, nat = 16, ntyp = 4
/
ATOMIC_SPECIES
Ac 227.00 Ac.upf
Tb 158.93 Tb.upf
Cu 63.55 Cu.upf
Pb 207.20 Pb.upf
CELL_PARAMETERS angstrom
7.7394 0.0000 0.0000
0.0000 7.7394 0.0000
0.0000 0.0000 7.7394
ATOMIC_POSITIONS crystal
Ac 0.0000 0.0000 0.0000
Ac 0.0000 0.5000 0.5000
Ac 0.5000 0.0000 0.5000
Ac 0.5000 0.5000 0.0000
Tb 0.0000 0.0000 0.5000
Tb 0.0000 0.5000 0.0000
Tb 0.5000 0.0000 0.0000
Tb 0.5000 0.5000 0.5000
Cu 0.2500 0.2500 0.2500
Cu 0.2500 0.7500 0.7500
Cu 0.7500 0.2500 0.7500
Cu 0.7500 0.7500 0.2500
Pb 0.2500 0.2500 0.7500
Pb 0.2500 0.7500 0.2500
Pb 0.7500 0.2500 0.2500
Pb 0.7500 0.7500 0.7500

***

! PBE Zn3CoI9, relaxed; values from VASP
! Symmetry: No. 9
! Formation energy without anion corrections, eV per formula unit: -4.139
&SYSTEM
  ibrav = 0, nat = 26, ntyp = 3
/
ATOMIC_SPECIES
Zn 65.41 Zn.upf
Co 58.93 Co.upf
I 126.90 I.upf
CELL_PARAMETERS angstrom
10.4004 -4.7056 0.0000
10.4004 4.7056 0.0000
-9.8612 0.0000 10.7500
ATOMIC_POSITIONS crystal
Zn 0.1312 0.8688 0.5000
Zn 0.4668 0.8487 0.8974
Zn 0.6140 0.9944 0.4015
Zn 0.8487 0.4668 0.3974
Zn 0.8688 0.1312 0.0000
Zn 0.9944 0.6140 0.9015
Co 0.2198 0.3362 0.1621
Co 0.3362 0.2198 0.6621
I 0.0534 0.8078 0.9053
I 0.1004 0.3209 0.7205
I 0.1142 0.5969 0.1199
I 0.1521 0.4461 0.5661
I 0.1611 0.9126 0.7120
I 0.2427 0.5328 0.3925
I 0.3153 0.9427 0.5041
I 0.3209 0.1004 0.2205
I 0.4461 0.1521 0.0661
I 0.5086 0.6398 0.9416
I 0.5328 0.2427 0.8925
I 0.5969 0.1142 0.6199
I 0.6398 0.5086 0.4416
I 0.6661 0.7277 0.7912
I 0.7277 0.6661 0.2912
I 0.8078 0.0534 0.4053
I 0.9126 0.1611 0.2120
I 0.9427 0.3153 0.0041

***

! PBE AcDy3Co, relaxed; values from VASP
! Symmetry: No. 221
! Formation enthalpy at 0 K, eV/atom: -0.04
&SYSTEM
  ibrav = 0, nat = 5, ntyp = 3
/
ATOMIC_SPECIES
Ac 227.00 Ac.upf
Dy 162.50 Dy.upf
Co 58.93 Co.upf
CELL_PARAMETERS angstrom
5.3734 0.0000 0.0000
0.0000 5.3734 0.0000
0.0000 0.0000 5.3734
ATOMIC_POSITIONS crystal
Ac 0.0000 0.0000 0.0000
Dy 0.0000 0.5000 0.5000
Dy 0.5000 0.0000 0.5000
Dy 0.5000 0.5000 0.0000
Co 0.5000 0.5000 0.5000

***

| no. | D(E_F) (states/eV per atom) | M_tot (μB per atom) |
| --- | --- | --- |
| 1 | 0.450 | 0.135 |
| 2 | 0.399 | 0.000 |
| 3 | 0.646 | 1.324 |
| 4 | 0.899 | 0.250 |
| 5 | 0.406 | 0.000 |
| 6 | 1.187 | 0.001 |
| 7 | 0.281 | 0.152 |
| 8 | 1.692 | 0.000 |